Entry 1:
First-principles (PBE-GGA) data for crystalline Si2PPb at its relaxed geometry, as listed in Alexandria.

Lattice parameters (Å, degrees): 5.7559 5.7559 3.9826 70.99 70.99 123.03
Element x y z (fractional)
P: 0.5000 0.0000 0.5000
Pb: 0.0000 0.5000 0.5000
Si: 0.0000 0.0000 0.0000
Si: 0.5000 0.5000 0.0000

Results
The calculation puts the polymorph energy (0 for the lowest one) at 319 meV/atom. The crystal system is monoclinic. The space group is C2/m, No. 12. The calculation puts the formation energy without anion corrections at 0.564 eV per atom.

***

Entry 2:
First-principles (PBE-GGA) data for crystalline Si2PPb at its relaxed geometry, as listed in Alexandria.

Lattice parameters (Å, degrees): 5.1476 5.1476 5.5524 68.86 68.86 37.68
Element x y z (fractional)
P: 0.2500 0.2500 0.2500
Pb: 0.7500 0.7500 0.7500
Si: 0.9475 0.9475 0.1318
Si: 0.5525 0.5525 0.3682

Results
The calculation puts the polymorph energy (0 for the lowest one) at 137 meV/atom. The crystal system is monoclinic. The space group is C2/m, No. 12. The calculation puts the formation energy without anion corrections at 0.383 eV per atom.

***

Entry 3:
First-principles (PBE-GGA) data for crystalline SiP2Pb at its relaxed geometry, as listed in Alexandria.

Lattice parameters (Å, degrees): 5.2963 5.2963 6.2933 59.86 59.86 37.54
Element x y z (fractional)
P: 0.9401 0.9401 0.0494
P: 0.6452 0.6452 0.9532
Pb: 0.6254 0.6254 0.4937
Si: 0.2893 0.2893 0.0037

Results
The calculation puts the polymorph energy (0 for the lowest one) at 290 meV/atom. The crystal system is monoclinic. The space group is Cm, No. 8. The calculation puts the formation energy without anion corrections at 0.280 eV per atom.

***

Ordered calculated total energy results: -4.427, -4.608, -4.708; unit eV per atom.